[1]
This record from the Alexandria database describes crystalline LiHg4Pt at its relaxed geometry. The functional is PBE.

abc: 5.7140 5.7140 5.7140
angles: 60.00 60.00 60.00
Fractional positions:
Li  0.7500  0.7500  0.7500
Hg  0.8758  0.3747  0.3747
Hg  0.3747  0.3747  0.8758
Hg  0.3747  0.8758  0.3747
Hg  0.3747  0.3747  0.3747
Pt  0.0000  0.0000  0.0000

Summary:
* SG: F-43m

[2]
This record from the Alexandria database describes crystalline Li6HgPt2 at its relaxed geometry. The functional is PBE.

abc: 2.8057 7.6924 7.6924
angles: 56.41 79.82 79.82
Fractional positions:
Li  0.3310  0.9908  0.3563
Li  0.6711  0.0093  0.6436
Li  0.6711  0.6436  0.0093
Li  0.4985  0.3414  0.6586
Li  0.4985  0.6586  0.3414
Li  0.3310  0.3563  0.9908
Hg  0.9997  0.0000  0.0000
Pt  0.1463  0.3466  0.3466
Pt  0.8526  0.6534  0.6534

Summary:
* SG: C2/m
* energy above the lowest structure with this stoichiometry: 0.00 eV/f.u.

[3]
This record from the Alexandria database describes crystalline Li6Hg5Pt at its relaxed geometry. The functional is PBE.

abc: 4.4687 6.8845 7.9188
angles: 115.77 106.79 90.00
Fractional positions:
Hg  0.6607  0.1618  0.3235
Hg  0.3296  0.3310  0.6619
Hg  0.0000  0.5000  0.0000
Hg  0.6704  0.6690  0.3381
Hg  0.3393  0.8382  0.6765
Pt  0.0000  0.0000  0.0000
Li  0.8411  0.6014  0.6824
Li  0.8411  0.0811  0.6824
Li  0.5000  0.7666  0.0001
Li  0.5000  0.2334  0.9999
Li  0.1589  0.9189  0.3176
Li  0.1589  0.3986  0.3176

Summary:
* SG: C2/m

Respective energy of formation from the pure elements values: 201, -431, -390 meV per atom.